VASP calculation (PBE) on a geometry-optimized Dy2BeAl structure.

Unit cell a=4.9820 b=4.9820 c=4.9820 alpha=60.00 beta=60.00 gamma=60.00
Fractional coordinates of all 4 atoms:
Dy  0.2500  0.2500  0.2500
Dy  0.7500  0.7500  0.7500
Be  0.0000  0.0000  0.0000
Al  0.5000  0.5000  0.5000

Results
ΔH_f (0 K)	-0.5	eV/f.u.
E above lowest polymorph	0.033	eV/atom
DOS at the Fermi energy	3.50	states/eV/cell
magnetization	0.0	μB per formula unit